# 1
The following is a PBE calculation of a relaxed structure of Ac2Pm2SmY, from Alexandria.

Unit cell a=7.3745 b=5.9271 c=10.1951 alpha=90.00 beta=90.00 gamma=90.00
Fractional positions:
Ac 0.0000 0.0000 0.0000
Ac 0.2500 0.5000 0.1745
Ac 0.5000 0.0000 0.0000
Ac 0.7500 0.5000 0.8255
Pm 0.2500 0.0000 0.3468
Pm 0.2500 0.5000 0.8242
Pm 0.7500 0.0000 0.6532
Pm 0.7500 0.5000 0.1758
Sm 0.2500 0.0000 0.6634
Sm 0.7500 0.0000 0.3366
Y 0.0000 0.5000 0.5000
Y 0.5000 0.5000 0.5000

Results
Crystal system = orthorhombic
Space group = Pmma (51)
Fermi-level density of states = 20.16 states/eV/cell

# 2
The following is a PBE calculation of a relaxed structure of AcPmSmY3, from Alexandria.

Unit cell a=10.9534 b=3.6748 c=10.9943 alpha=90.00 beta=109.58 gamma=90.00
Fractional positions:
Ac 0.2091 0.2500 0.3718
Ac 0.7909 0.7500 0.6282
Pm 0.1278 0.7500 0.6304
Pm 0.8722 0.2500 0.3696
Sm 0.3770 0.2500 0.8773
Sm 0.6230 0.7500 0.1227
Y 0.0451 0.2500 0.8803
Y 0.2936 0.7500 0.1187
Y 0.4599 0.7500 0.6297
Y 0.5401 0.2500 0.3703
Y 0.7064 0.2500 0.8813
Y 0.9549 0.7500 0.1197

Results
Crystal system = monoclinic
Space group = P2_1/m (11)
Fermi-level density of states = 16.93 states/eV/cell

# 3
The following is a PBE calculation of a relaxed structure of AcPm2Sm6Y3, from Alexandria.

Unit cell a=6.3264 b=6.3264 c=12.0880 alpha=95.00 beta=95.00 gamma=120.00
Fractional positions:
Ac 0.0000 0.0000 0.0000
Pm 0.3334 0.6666 0.0000
Pm 0.6666 0.3334 0.0000
Sm 0.0860 0.4217 0.2551
Sm 0.2496 0.2496 0.7445
Sm 0.4217 0.0860 0.2551
Sm 0.5783 0.9140 0.7449
Sm 0.7504 0.7504 0.2555
Sm 0.9140 0.5783 0.7449
Y 0.1670 0.8330 0.5000
Y 0.5000 0.5000 0.5000
Y 0.8330 0.1670 0.5000

Results
Crystal system = monoclinic
Space group = C2/m (12)
Fermi-level density of states = 17.19 states/eV/cell

# 4
The following is a PBE calculation of a relaxed structure of Ac5PmSm2Y, from Alexandria.

Unit cell a=11.6575 b=11.6575 c=11.1460 alpha=90.00 beta=90.00 gamma=151.00
Fractional positions:
Ac 0.0000 0.0000 0.0000
Ac 0.0000 0.0000 0.5000
Ac 0.1295 0.8705 0.7500
Ac 0.2182 0.7818 0.0636
Ac 0.2182 0.7818 0.4364
Ac 0.4982 0.5018 0.7500
Ac 0.5018 0.4982 0.2500
Ac 0.7818 0.2182 0.5636
Ac 0.7818 0.2182 0.9364
Ac 0.8705 0.1295 0.2500
Pm 0.3021 0.6979 0.7500
Pm 0.6979 0.3021 0.2500
Sm 0.3874 0.6126 0.0041
Sm 0.3874 0.6126 0.4959
Sm 0.6126 0.3874 0.5041
Sm 0.6126 0.3874 0.9959
Y 0.0982 0.9018 0.2500
Y 0.9018 0.0982 0.7500

Results
Crystal system = orthorhombic
Space group = Cmcm (63)
Fermi-level density of states = 26.17 states/eV/cell

# 5
The following is a PBE calculation of a relaxed structure of Ac2PmSm5Y, from Alexandria.

Unit cell a=10.6963 b=10.6963 c=11.0165 alpha=90.00 beta=90.00 gamma=148.30
Fractional positions:
Ac 0.1110 0.8890 0.5000
Ac 0.1185 0.8815 0.0895
Ac 0.8815 0.1185 0.5895
Ac 0.8890 0.1110 0.0000
Pm 0.2076 0.7924 0.7743
Pm 0.7924 0.2076 0.2743
Sm 0.0199 0.9801 0.7937
Sm 0.2839 0.7161 0.0702
Sm 0.2968 0.7032 0.4678
Sm 0.3966 0.6034 0.7920
Sm 0.4791 0.5209 0.5089
Sm 0.5209 0.4791 0.0089
Sm 0.6034 0.3966 0.2920
Sm 0.7032 0.2968 0.9678
Sm 0.7161 0.2839 0.5702
Sm 0.9801 0.0199 0.2937
Y 0.4107 0.5893 0.2308
Y 0.5893 0.4107 0.7308

Results
Crystal system = orthorhombic
Space group = Cmc2_1 (36)
Fermi-level density of states = 25.38 states/eV/cell

# 6
The following is a PBE calculation of a relaxed structure of AcPm2Sm5Y, from Alexandria.

Unit cell a=10.1165 b=10.1165 c=10.1165 alpha=127.16 beta=127.16 gamma=77.99
Fractional positions:
Ac 0.2500 0.2500 0.0000
Ac 0.7500 0.7500 0.0000
Pm 0.1158 0.6158 0.7316
Pm 0.3842 0.1158 0.5000
Pm 0.6158 0.8842 0.5000
Pm 0.8842 0.3842 0.2684
Sm 0.0000 0.0000 0.0000
Sm 0.0739 0.1617 0.5000
Sm 0.1617 0.6617 0.0878
Sm 0.3383 0.4261 0.5000
Sm 0.4261 0.9261 0.0878
Sm 0.5000 0.5000 0.0000
Sm 0.5739 0.0739 0.9122
Sm 0.6617 0.5739 0.5000
Sm 0.8383 0.3383 0.9122
Sm 0.9261 0.8383 0.5000
Y 0.2500 0.7500 0.5000
Y 0.7500 0.2500 0.5000

Results
Crystal system = tetragonal
Space group = I4/mcm (140)
Fermi-level density of states = 22.00 states/eV/cell

# 7
The following is a PBE calculation of a relaxed structure of AcPmSmY2, from Alexandria.

Unit cell a=7.3736 b=7.3736 c=7.3707 alpha=90.00 beta=90.00 gamma=108.87
Fractional positions:
Ac 0.2449 0.7551 0.7500
Ac 0.7551 0.2449 0.2500
Pm 0.2090 0.7910 0.2500
Pm 0.7910 0.2090 0.7500
Sm 0.4736 0.5264 0.2500
Sm 0.5264 0.4736 0.7500
Y 0.1894 0.1894 0.0000
Y 0.1894 0.1894 0.5000
Y 0.8106 0.8106 0.0000
Y 0.8106 0.8106 0.5000

Results
Crystal system = orthorhombic
Space group = Cmcm (63)
Fermi-level density of states = 15.12 states/eV/cell

# 8
The following is a PBE calculation of a relaxed structure of Ac2PmSm3Y6, from Alexandria.

Unit cell a=6.3723 b=6.3723 c=11.9755 alpha=95.08 beta=95.08 gamma=119.99
Fractional positions:
Ac 0.1666 0.8334 0.0000
Ac 0.8334 0.1666 0.0000
Pm 0.5000 0.5000 0.0000
Sm 0.0000 0.0000 0.5000
Sm 0.3333 0.6667 0.5000
Sm 0.6667 0.3333 0.5000
Y 0.0839 0.4151 0.7445
Y 0.2538 0.2538 0.2555
Y 0.4151 0.0839 0.7445
Y 0.5849 0.9161 0.2555
Y 0.7462 0.7462 0.7445
Y 0.9161 0.5849 0.2555

Results
Crystal system = monoclinic
Space group = C2/m (12)
Fermi-level density of states = 14.11 states/eV/cell

# 9
The following is a PBE calculation of a relaxed structure of Ac3PmSm2Y6, from Alexandria.

Unit cell a=6.4442 b=6.4442 c=12.0004 alpha=95.13 beta=95.13 gamma=120.00
Fractional positions:
Ac 0.0000 0.0000 0.0000
Ac 0.3333 0.6667 0.0000
Ac 0.6667 0.3333 0.0000
Pm 0.5000 0.5000 0.5000
Sm 0.1666 0.8334 0.5000
Sm 0.8334 0.1666 0.5000
Y 0.0856 0.4190 0.2570
Y 0.2476 0.2476 0.7431
Y 0.4190 0.0856 0.2570
Y 0.5810 0.9144 0.7430
Y 0.7524 0.7524 0.2569
Y 0.9144 0.5810 0.7430

Results
Crystal system = monoclinic
Space group = C2/m (12)
Fermi-level density of states = 13.76 states/eV/cell

In the order shown, the computed DFT formation energy values come out to 77, 34, 26, 141, 142, 257, 333, 30, 38 meV/atom.
In the order shown, the computed raw total energy values come out to -4.7402, -5.4612, -5.0842, -4.4364, -4.6386, -4.5951, -4.9683, -5.4629, -5.4035 eV/atom.